VASP calculation (PBE-GGA) on crystalline HfInAs2Se at its relaxed geometry.

For the formation energy without anion corrections, the calculation gives -0.022 eV per atom. Its crystal system is tetragonal.

abc: 5.548 5.548 5.362
angles: 90.00 90.00 90.00
Fractional positions:
As 0.000 0.500 0.000
As 0.500 0.000 0.000
Hf 0.000 0.000 0.000
Se 0.000 0.000 0.500
In 0.500 0.500 0.500


VASP calculation (PBE-GGA) on crystalline NaUS2 at its relaxed geometry.

For the formation energy without anion corrections, the calculation gives -1.175 eV per atom. Its crystal system is orthorhombic.

abc: 4.258 5.508 17.278
angles: 90.00 90.00 90.00
Last column: magnetic moment on the atom in μB.
Fractional positions:
Na 0.750 0.250 0.557  0.00
Na 0.250 0.750 0.443  0.00
Na 0.750 0.750 0.943  0.00
Na 0.250 0.250 0.057  0.00
U 0.750 0.750 0.170  2.70
U 0.750 0.250 0.330  2.70
U 0.250 0.250 0.830  2.70
U 0.250 0.750 0.670  2.70
S 0.750 0.750 0.574  -0.05
S 0.250 0.250 0.426  -0.05
S 0.750 0.250 0.926  -0.05
S 0.250 0.750 0.074  -0.05
S 0.250 0.250 0.674  -0.07
S 0.750 0.250 0.174  -0.07
S 0.250 0.750 0.826  -0.07
S 0.750 0.750 0.326  -0.07


VASP calculation (PBE-GGA) on crystalline BeInSi at its relaxed geometry.

For the formation energy without anion corrections, the calculation gives 0.790 eV per atom. Its crystal system is cubic.

abc: 4.383 4.383 4.383
angles: 60.00 60.00 60.00
Fractional positions:
Be 0.500 0.500 0.500
Si 0.000 0.000 0.000
In 0.750 0.750 0.750


VASP calculation (PBE-GGA) on crystalline K2NaIF at its relaxed geometry.

For the formation energy without anion corrections, the calculation gives -1.477 eV per atom. Its crystal system is tetragonal.

abc: 5.954 5.954 4.703
angles: 90.00 90.00 90.00
Fractional positions:
I 0.500 0.500 0.500
Na 0.000 0.000 0.500
K 0.000 0.500 0.000
K 0.500 0.000 0.000
F 0.000 0.000 0.000


VASP calculation (PBE-GGA) on crystalline Ca3MnAs at its relaxed geometry.

Its formation enthalpy at 0 K is 0.335 eV per atom. Its crystal system is cubic.

abc: 5.272 5.272 5.272
angles: 90.00 90.00 90.00
Last column: magnetic moment on the atom in μB.
Fractional positions:
As 0.500 0.500 0.500  0.07
Mn 0.000 0.000 0.000  2.63
Ca 0.000 0.500 0.000  -0.06
Ca 0.000 0.000 0.500  -0.08
Ca 0.500 0.000 0.000  -0.05


VASP calculation (PBE-GGA) on crystalline Pt3Br at its relaxed geometry.

For the formation energy without anion corrections, the calculation gives 0.496 eV per atom. Its crystal system is orthorhombic.

abc: 6.727 6.727 3.617
angles: 90.00 90.00 116.71
Fractional positions:
Pt 0.219 0.781 0.750
Pt 0.781 0.219 0.250
Pt 0.722 0.902 0.750
Pt 0.278 0.098 0.250
Pt 0.902 0.722 0.250
Pt 0.098 0.278 0.750
Br 0.620 0.380 0.750
Br 0.380 0.620 0.250